Record 1
Here is a geometry-optimized PrMg2ZnIn2 structure from Alexandria via LeMat-Bulk. Energies are from PBE.

Cell lengths 5.554, 5.554, 6.993 Å; angles 113.40, 113.40, 90.00 degrees
Element x y z (fractional)
1 Zn 0.000 0.000 0.000
2 Pr 0.500 0.500 0.000
3 In 0.218 0.218 0.437
4 In 0.782 0.782 0.563
5 Mg 0.750 0.250 0.500
6 Mg 0.250 0.750 0.500

Properties
- energy (eV per atom) = -2.246
- crystal system = tetragonal
- total magnetic moment (μB per formula unit) = 0.0
- space group = I4/mmm (139)
- formation energy from the elements (eV/atom) = 0.21
- DOS(E_F) (states/eV/f.u.) = 3.0

Record 2
Here is a geometry-optimized Pm2LuTl structure from Alexandria via LeMat-Bulk. Energies are from PBE.

Cell lengths 5.531, 5.531, 5.531 Å; angles 60.00, 60.00, 60.00 degrees
Element x y z (fractional)
1 Lu 0.500 0.500 0.500
2 Tl 0.000 0.000 0.000
3 Pm 0.250 0.250 0.250
4 Pm 0.750 0.750 0.750

Properties
- energy (eV per atom) = -4.169
- crystal system = cubic
- total magnetic moment (μB per formula unit) = 0.8
- offset from the most stable computed form (meV per atom) = 112.7
- space group = Fm-3m (225)
- formation energy from the elements (eV/atom) = -0.07
- DOS(E_F) (states/eV/f.u.) = 6.4

Record 3
Here is a geometry-optimized KTlCd2P structure from Alexandria via LeMat-Bulk. Energies are from PBE.

Cell lengths 5.386, 5.822, 5.386 Å; angles 90.00, 90.00, 90.00 degrees
Element x y z (fractional)
1 Cd 0.000 0.000 0.500
2 Cd 0.500 0.000 0.000
3 K 0.500 0.500 0.500
4 Tl 0.000 0.500 0.000
5 P 0.000 0.000 0.000

Properties
- energy (eV per atom) = -1.963
- crystal system = tetragonal
- total magnetic moment (μB per formula unit) = 0.0
- space group = P4/mmm (123)
- formation energy from the elements (eV/atom) = 0.18
- DOS(E_F) (states/eV/f.u.) = 3.2

Record 4
Here is a geometry-optimized AcCoAs structure from Alexandria via LeMat-Bulk. Energies are from PBE.

Cell lengths 3.381, 3.381, 6.035 Å; angles 106.27, 106.27, 90.00 degrees
Element x y z (fractional)
1 Ac 0.996 0.996 0.991
2 As 0.713 0.713 0.426
3 Co 0.291 0.291 0.583

Properties
- energy (eV per atom) = -5.442
- crystal system = tetragonal
- total magnetic moment (μB per formula unit) = 0.0
- offset from the most stable computed form (meV per atom) = 593.4
- space group = I4mm (107)
- formation energy from the elements (eV/atom) = -0.15
- DOS(E_F) (states/eV/f.u.) = 4.7

Record 5
Here is a geometry-optimized Li8Ga3Ag2 structure from Alexandria via LeMat-Bulk. Energies are from PBE.

Cell lengths 4.983, 7.569, 7.277 Å; angles 121.34, 93.20, 90.00 degrees
Element x y z (fractional)
1 Li 0.180 0.814 0.628
2 Li 0.820 0.186 0.372
3 Li 0.472 0.815 0.239
4 Li 0.472 0.424 0.239
5 Li 0.528 0.576 0.761
6 Li 0.052 0.397 0.793
7 Li 0.528 0.185 0.761
8 Li 0.948 0.603 0.207
9 Ag 0.683 0.791 0.582
10 Ag 0.317 0.209 0.418
11 Ga 0.000 0.184 0.000
12 Ga 0.000 0.816 0.000
13 Ga 0.500 0.000 0.000

Properties
- energy (eV per atom) = -2.440
- crystal system = monoclinic
- total magnetic moment (μB per formula unit) = 0.0
- space group = C2/m (12)
- formation energy from the elements (eV/atom) = -0.13
- DOS(E_F) (states/eV/f.u.) = 3.1

Record 6
Here is a geometry-optimized Mn2RuWN structure from Alexandria via LeMat-Bulk. Energies are from PBE.

Cell lengths 3.800, 3.800, 4.068 Å; angles 90.00, 90.00, 90.00 degrees
Element x y z (fractional)
1 Mn 0.500 0.000 0.000
2 Mn 0.000 0.500 0.000
3 W 0.000 0.000 0.500
4 Ru 0.500 0.500 0.500
5 N 0.000 0.000 0.000

Properties
- energy (eV per atom) = -9.854
- crystal system = tetragonal
- total magnetic moment (μB per formula unit) = 1.4
- space group = P4/mmm (123)
- formation energy (no corrections) (eV/atom) = -0.075
- DOS(E_F) (states/eV/f.u.) = 5.4